BeZnOs4 | SCAN | PBEsol geometry

Values from the calculation:
The mass density comes out at 15.07 g/cm³. The value obtained for the energy of formation from the pure elements is 19.3 kcal/mol of atoms. The space group is F-43m. Its density of states at the Fermi level is 6.54 states/eV per cell.

Unit cell a=5.067 b=5.067 c=5.067 alpha=60.00 beta=60.00 gamma=60.00
Element x y z (fractional)
Be1 0.000 0.000 0.000
Zn1 0.750 0.750 0.750
Os1 0.375 0.375 0.375
Os2 0.375 0.375 0.875
Os3 0.375 0.875 0.375
Os4 0.875 0.375 0.375

=====

BeZn2Os | SCAN | PBEsol geometry

Values from the calculation:
The mass density comes out at 10.76 g/cm³. The value obtained for the energy of formation from the pure elements is 5.5 kcal/mol of atoms. The space group is R-3m. Its density of states at the Fermi level is 2.54 states/eV per cell.

Unit cell a=8.287 b=8.287 c=8.287 alpha=18.67 beta=18.67 gamma=18.67
Element x y z (fractional)
Be1 0.000 0.000 0.000
Zn1 0.256 0.256 0.256
Zn2 0.744 0.744 0.744
Os1 0.500 0.500 0.500

=====

ZrBeOs4 | SCAN | PBEsol geometry

Values from the calculation:
The mass density comes out at 15.11 g/cm³. The value obtained for the energy of formation from the pure elements is 2.5 kcal/mol of atoms. The space group is F-43m. Its density of states at the Fermi level is 5.94 states/eV per cell.

Unit cell a=5.115 b=5.115 c=5.115 alpha=60.00 beta=60.00 gamma=60.00
Element x y z (fractional)
Zr1 0.000 0.000 0.000
Be1 0.750 0.750 0.750
Os1 0.376 0.376 0.376
Os2 0.376 0.376 0.873
Os3 0.376 0.873 0.376
Os4 0.873 0.376 0.376

=====

BeP5 | SCAN | PBEsol geometry

Values from the calculation:
The mass density comes out at 3.31 g/cm³. The value obtained for the energy of formation from the pure elements is 10.9 kcal/mol of atoms. The space group is P-62m. Its density of states at the Fermi level is 1.92 states/eV per cell.

Unit cell a=5.575 b=5.575 c=3.058 alpha=90.00 beta=90.00 gamma=120.00
Element x y z (fractional)
Be1 0.000 0.000 0.000
P1 0.000 0.671 0.500
P2 0.329 0.329 0.500
P3 0.333 0.667 0.000
P4 0.667 0.333 0.000
P5 0.671 0.000 0.500

=====

BeP2 | SCAN | PBEsol geometry

Values from the calculation:
The mass density comes out at 3.05 g/cm³. The value obtained for the energy of formation from the pure elements is 6.8 kcal/mol of atoms. The space group is P-3m1. Its energy above the most stable polymorph in this dataset is 0 meV per atom. Its density of states at the Fermi level is 0.89 states/eV per cell.

Unit cell a=3.221 b=3.221 c=4.296 alpha=90.00 beta=90.00 gamma=120.00
Element x y z (fractional)
Be1 0.000 0.000 0.000
P1 0.333 0.667 0.671
P2 0.667 0.333 0.329

=====

BeP | SCAN | PBEsol geometry

Values from the calculation:
The mass density comes out at 2.78 g/cm³. The value obtained for the energy of formation from the pure elements is 3.4 kcal/mol of atoms. The space group is C2/m. Its energy above the most stable polymorph in this dataset is 94 meV per atom. Its density of states at the Fermi level is 0.63 states/eV per cell.

Unit cell a=4.963 b=4.963 c=3.389 alpha=109.14 beta=109.14 gamma=37.53
Element x y z (fractional)
Be1 0.151 0.151 0.040
Be2 0.849 0.849 0.960
P1 0.386 0.386 0.515
P2 0.614 0.614 0.485

=====

Values for calculated total energy, eV per cell, ordered as above
-300.37 -102.31 -321.92 -53.50 -24.27 -28.92